A plane-wave DFT calculation with PBE-GGA was carried out for a relaxed structure of ThIrPbO6.

The structure belongs to space group P-31c (No. 163); the cell edges are 5.7501, 5.7501 and 10.1172 Å and the angles 90.00°, 90.00° and 120.00°. The asymmetric unit holds Th at (0.3333, 0.6667, 0.2500), Ir at (0.3333, 0.6667, 0.7500), Pb at (0.0000, 0.0000, 0.0000) and O at (0.0439, 0.3884, 0.6414).

As for the density of states at the Fermi level: 6.8 states/eV per cell. Its mass density is 8.3 Mg/m³. The volume is 16.094 A^3/atom. For the final energy, the calculation gives -130.1 eV/cell.

A plane-wave DFT calculation with PBE-GGA was carried out for a relaxed structure of TiIrPbO2.

The structure belongs to space group P4/mmm (No. 123); the cell edges are 3.826, 3.826 and 5.526 Å and the angles 90.00°, 90.00° and 90.00°. The asymmetric unit holds Ti at (0.000, 0.000, 0.000), Ir at (0.000, 0.000, 0.500), Pb at (0.500, 0.500, 0.500) and O at (0.000, 0.500, 0.000).

As for the density of states at the Fermi level: 1.8 states/eV per cell. Its mass density is 9.8 Mg/m³. The volume is 16.181 A^3/atom. For the final energy, the calculation gives -35.9 eV/cell.

A plane-wave DFT calculation with PBE-GGA was carried out for a relaxed structure of TiIrPbO6.

The structure belongs to space group Imma (No. 74); the cell edges are 7.150, 7.189 and 10.308 Å and the angles 90.00°, 90.00° and 90.00°. The asymmetric unit holds Ti at (0.000, 0.000, 0.000), Ir at (0.250, 0.250, 0.250), Pb at (0.000, 0.250, 0.547), O at (0.000, 0.250, 0.322), O at (0.000, 0.250, 0.942) and O at (0.208, 0.063, 0.121).

As for the density of states at the Fermi level: 18.6 states/eV per cell. Its mass density is 6.8 Mg/m³. The volume is 14.717 A^3/atom. For the final energy, the calculation gives -250.7 eV/cell.